Entry 1:
Below is SmHoEr2P4 after structural relaxation, with properties calculated at the PBE-GGA level.

Values from the calculation:
- E_tot: -6.6053 eV per atom
- Volume: 22.8 A^3/atom
- Space group: No. 10
- ΔH_f (0 K): -12.780 eV/f.u.

Cell: 4.010 6.942 6.942 Å, 70.53 90.00 90.00°
Atoms (fractional coordinates):
1 P 0.000 0.244 0.255
2 P 0.000 0.756 0.745
3 P 0.500 0.246 0.748
4 P 0.500 0.754 0.252
5 Er 0.500 0.000 0.500
6 Er 0.000 0.000 0.000
7 Ho 0.000 0.500 0.500
8 Sm 0.500 0.500 0.000

***

Entry 2:
Below is Sm2HoErP4 after structural relaxation, with properties calculated at the PBE-GGA level.

Values from the calculation:
- E_tot: -6.6156 eV per atom
- Volume: 23.4 A^3/atom
- Space group: No. 10
- ΔH_f (0 K): -12.707 eV/f.u.

Cell: 4.045 7.003 7.000 Å, 109.47 90.00 90.00°
Atoms (fractional coordinates):
1 P 0.000 0.747 0.242
2 P 0.500 0.248 0.242
3 P 0.000 0.253 0.758
4 P 0.500 0.752 0.758
5 Ho 0.000 0.000 0.000
6 Sm 0.500 0.000 0.500
7 Sm 0.000 0.500 0.500
8 Er 0.500 0.500 0.000

***

Entry 3:
Below is Tb2HoErP4 after structural relaxation, with properties calculated at the PBE-GGA level.

Values from the calculation:
- E_tot: -6.6179 eV per atom
- Volume: 22.7 A^3/atom
- Space group: No. 10
- ΔH_f (0 K): -12.902 eV/f.u.

Cell: 4.004 6.933 6.932 Å, 109.46 90.00 90.00°
Atoms (fractional coordinates):
1 Er 0.000 0.000 0.000
2 P 0.500 0.248 0.247
3 P 0.500 0.752 0.753
4 P 0.000 0.750 0.247
5 P 0.000 0.250 0.753
6 Ho 0.500 0.500 0.000
7 Tb 0.500 0.000 0.500
8 Tb 0.000 0.500 0.500

***

Entry 4:
Below is TbHo2ErP4 after structural relaxation, with properties calculated at the PBE-GGA level.

Values from the calculation:
- E_tot: -6.6116 eV per atom
- Volume: 22.5 A^3/atom
- Space group: No. 10
- ΔH_f (0 K): -12.905 eV/f.u.

Cell: 3.994 6.914 6.915 Å, 109.47 90.00 90.00°
Atoms (fractional coordinates):
1 P 0.500 0.752 0.750
2 P 0.000 0.248 0.749
3 P 0.000 0.752 0.251
4 P 0.500 0.248 0.250
5 Tb 0.500 0.500 0.000
6 Er 0.000 0.000 0.000
7 Ho 0.000 0.500 0.500
8 Ho 0.500 0.000 0.500